The following is a DFT calculation (PBE) of a relaxed structure of MgGe2Pd7.

CIF file:
```
data_MgGe2Pd7
_symmetry_space_group_name_H-M 'P 1'
_symmetry_Int_Tables_number 1
_cell_length_a 4.0662
_cell_length_b 4.0662
_cell_length_c 10.2946
_cell_angle_alpha 101.39
_cell_angle_beta 101.39
_cell_angle_gamma 90.00
loop_
_symmetry_equiv_pos_as_xyz
'x,y,z'
loop_
_atom_site_label
_atom_site_type_symbol
_atom_site_fract_x
_atom_site_fract_y
_atom_site_fract_z
Mg1 Mg 0.0000 0.0000 0.0000
Ge1 Ge 0.6717 0.6717 0.3435
Ge2 Ge 0.3283 0.3283 0.6565
Pd1 Pd 0.0995 0.5995 0.1989
Pd2 Pd 0.4005 0.9005 0.8011
Pd3 Pd 0.5995 0.0995 0.1989
Pd4 Pd 0.5000 0.5000 0.0000
Pd5 Pd 0.7500 0.2500 0.5000
Pd6 Pd 0.9005 0.4005 0.8011
Pd7 Pd 0.2500 0.7500 0.5000
```

## Properties
space-group type = I4/mmm, No. 139
ΔE_f = -0.51 eV/atom
energy above the most stable polymorph in this dataset = 0.000 eV/f.u.
DFT total energy = -5.23 eV per atom

---

The following is a DFT calculation (PBE) of a relaxed structure of CoPH2.

CIF file:
```
data_CoPH2
_symmetry_space_group_name_H-M 'P 1'
_symmetry_Int_Tables_number 1
_cell_length_a 3.4623
_cell_length_b 3.9308
_cell_length_c 7.5803
_cell_angle_alpha 75.73
_cell_angle_beta 76.87
_cell_angle_gamma 64.35
loop_
_symmetry_equiv_pos_as_xyz
'x,y,z'
loop_
_atom_site_label
_atom_site_type_symbol
_atom_site_fract_x
_atom_site_fract_y
_atom_site_fract_z
Co1 Co 0.3049 0.5829 0.8974
Co2 Co 0.0304 0.8271 0.1999
P1 P 0.3565 0.2079 0.1736
P2 P 0.9801 0.1975 0.9241
H1 H 0.8788 0.9410 0.3832
H2 H 0.2745 0.8054 0.6844
H3 H 0.4368 0.5683 0.6791
H4 H 0.1515 0.4704 0.3538
```

## Properties
space-group type = P1, No. 1
energy above the most stable polymorph in this dataset = 0.222 eV/f.u.
DFT total energy = -4.84 eV per atom

---

The following is a DFT calculation (PBE) of a relaxed structure of LaMn3Ni2.

CIF file:
```
data_LaMn3Ni2
_symmetry_space_group_name_H-M 'P 1'
_symmetry_Int_Tables_number 1
_cell_length_a 4.0005
_cell_length_b 5.3724
_cell_length_c 5.3724
_cell_angle_alpha 119.99
_cell_angle_beta 90.00
_cell_angle_gamma 90.00
loop_
_symmetry_equiv_pos_as_xyz
'x,y,z'
loop_
_atom_site_label
_atom_site_type_symbol
_atom_site_fract_x
_atom_site_fract_y
_atom_site_fract_z
Ni1 Ni 0.0000 0.6667 0.3334
Ni2 Ni 0.0000 0.3334 0.6667
Mn1 Mn 0.5000 0.5000 0.5000
Mn2 Mn 0.5000 0.5000 0.0000
Mn3 Mn 0.5000 0.0000 0.5000
La1 La 0.0000 0.0000 0.0000
```

## Properties
space-group type = P6/mmm, No. 191
ΔE_f = 0.01 eV/atom
DFT total energy = -7.32 eV per atom

---

The following is a DFT calculation (PBE) of a relaxed structure of NaTl3In3.

CIF file:
```
data_NaTl3In3
_symmetry_space_group_name_H-M 'P 1'
_symmetry_Int_Tables_number 1
_cell_length_a 5.6175
_cell_length_b 9.0635
_cell_length_c 9.0638
_cell_angle_alpha 120.00
_cell_angle_beta 90.00
_cell_angle_gamma 90.00
loop_
_symmetry_equiv_pos_as_xyz
'x,y,z'
loop_
_atom_site_label
_atom_site_type_symbol
_atom_site_fract_x
_atom_site_fract_y
_atom_site_fract_z
Na1 Na 0.7500 0.3333 0.6667
Na2 Na 0.2500 0.6667 0.3333
Tl1 Tl 0.7500 0.7552 0.9489
Tl2 Tl 0.7500 0.1937 0.2448
Tl3 Tl 0.7500 0.0511 0.8063
Tl4 Tl 0.2500 0.2448 0.0511
Tl5 Tl 0.2500 0.8063 0.7552
Tl6 Tl 0.2500 0.9489 0.1937
In1 In 0.7500 0.9000 0.3885
In2 In 0.7500 0.4885 0.1000
In3 In 0.7500 0.6115 0.5115
In4 In 0.2500 0.1000 0.6115
In5 In 0.2500 0.5115 0.9000
In6 In 0.2500 0.3885 0.4885
```

## Properties
space-group type = P6_3/m, No. 176
ΔE_f = -0.03 eV/atom
energy above the most stable polymorph in this dataset = 0.063 eV/f.u.
DFT total energy = -2.40 eV per atom

---

no.,total magnetic moment (μB/cell)
1,0.00
2,0.00
3,11.26
4,0.00